(1)
This record from the Alexandria database describes a relaxed PrSm2Tm crystal. The functional is PBE-GGA.

a b c (Å): 5.127 5.131 6.238
angles (deg): 114.28 114.27 90.00
Fractional positions:
1 Pr 0.250 0.750 0.499
2 Sm 0.000 0.000 0.000
3 Sm 0.750 0.250 0.500
4 Tm 0.500 0.500 0.000

Output
Polymorph energy (0 for the lowest one) (eV per atom): 0.000
ρ (g cm⁻³): 7.59
SG: I-4m2, No. 119


(2)
This record from the Alexandria database describes a relaxed PrSm12Tm5 crystal. The functional is PBE-GGA.

a b c (Å): 15.219 10.772 5.086
angles (deg): 90.00 90.00 45.10
Fractional positions:
1 Pr 0.000 0.000 0.000
2 Sm 0.833 0.000 0.500
3 Sm 0.167 0.000 0.500
4 Sm 0.664 0.000 0.000
5 Sm 0.336 0.000 0.000
6 Sm 0.334 0.665 0.000
7 Sm 0.001 0.665 0.000
8 Sm 0.999 0.335 0.000
9 Sm 0.666 0.335 0.000
10 Sm 0.498 0.332 0.500
11 Sm 0.831 0.667 0.500
12 Sm 0.169 0.333 0.500
13 Sm 0.502 0.668 0.500
14 Tm 0.500 0.000 0.500
15 Tm 0.168 0.663 0.500
16 Tm 0.832 0.337 0.500
17 Tm 0.667 0.667 0.000
18 Tm 0.333 0.333 0.000

Output
ρ (g cm⁻³): 7.84
SG: Cmmm, No. 65


(3)
This record from the Alexandria database describes a relaxed Pr5Sm4Tm3 crystal. The functional is PBE-GGA.

a b c (Å): 5.778 5.927 14.096
angles (deg): 84.69 78.17 60.82
Fractional positions:
1 Pr 0.667 0.669 0.998
2 Pr 0.500 0.500 0.500
3 Pr 0.205 0.329 0.261
4 Pr 0.795 0.671 0.739
5 Pr 0.333 0.331 0.002
6 Sm 0.063 0.004 0.871
7 Sm 0.189 0.997 0.624
8 Sm 0.811 0.003 0.376
9 Sm 0.937 0.996 0.129
10 Tm 0.459 0.338 0.744
11 Tm 0.000 0.500 0.500
12 Tm 0.541 0.662 0.256

Output
ρ (g cm⁻³): 7.30
SG: C2/m, No. 12


(4)
This record from the Alexandria database describes a relaxed PrSm2Tm9 crystal. The functional is PBE-GGA.

a b c (Å): 4.992 4.992 14.972
angles (deg): 90.00 90.00 90.00
Fractional positions:
1 Pr 0.000 0.000 0.000
2 Sm 0.000 0.000 0.334
3 Sm 0.000 0.000 0.666
4 Tm 0.500 0.500 0.000
5 Tm 0.500 0.500 0.334
6 Tm 0.500 0.500 0.666
7 Tm 0.500 0.000 0.168
8 Tm 0.500 0.000 0.500
9 Tm 0.500 0.000 0.832
10 Tm 0.000 0.500 0.168
11 Tm 0.000 0.500 0.500
12 Tm 0.000 0.500 0.832

Output
Polymorph energy (0 for the lowest one) (eV per atom): 0.000
ρ (g cm⁻³): 8.73
SG: P4/mmm, No. 123


(5)
This record from the Alexandria database describes a relaxed PrSm5Tm3 crystal. The functional is PBE-GGA.

a b c (Å): 6.738 12.136 11.546
angles (deg): 136.15 90.00 106.12
Fractional positions:
1 Pr 0.758 0.000 0.750
2 Pr 0.242 0.000 0.250
3 Sm 0.312 0.000 0.750
4 Sm 0.739 0.657 0.004
5 Sm 0.617 0.223 0.171
6 Sm 0.261 0.343 0.996
7 Sm 0.394 0.777 0.329
8 Sm 0.688 0.000 0.250
9 Sm 0.918 0.657 0.504
10 Sm 0.082 0.343 0.496
11 Sm 0.606 0.223 0.671
12 Sm 0.383 0.777 0.829
13 Tm 0.000 0.000 0.000
14 Tm 0.359 0.520 0.393
15 Tm 0.000 0.000 0.500
16 Tm 0.641 0.480 0.607
17 Tm 0.161 0.520 0.893
18 Tm 0.839 0.480 0.107

Output
Polymorph energy (0 for the lowest one) (eV per atom): 0.000
ρ (g cm⁻³): 7.76
SG: C2/c, No. 15


(6)
This record from the Alexandria database describes a relaxed Pr2Sm3Tm6 crystal. The functional is PBE-GGA.

a b c (Å): 6.121 6.127 11.650
angles (deg): 84.97 79.88 60.03
Fractional positions:
1 Pr 0.167 0.667 0.500
2 Pr 0.833 0.333 0.500
3 Sm 0.000 0.000 0.000
4 Sm 0.336 0.329 0.000
5 Sm 0.664 0.671 0.000
6 Tm 0.416 0.667 0.752
7 Tm 0.749 0.000 0.752
8 Tm 0.083 0.333 0.752
9 Tm 0.251 0.000 0.248
10 Tm 0.584 0.333 0.248
11 Tm 0.917 0.667 0.248

Output
Polymorph energy (0 for the lowest one) (eV per atom): 0.000
ρ (g cm⁻³): 7.78
SG: C2/m, No. 12


(7)
This record from the Alexandria database describes a relaxed PrSm8Tm3 crystal. The functional is PBE-GGA.

a b c (Å): 8.728 8.728 8.728
angles (deg): 97.32 135.81 98.95
Fractional positions:
1 Pr 0.000 0.000 0.000
2 Sm 0.504 0.265 0.239
3 Sm 0.496 0.735 0.761
4 Sm 0.973 0.735 0.239
5 Sm 0.027 0.265 0.761
6 Sm 0.166 0.418 0.252
7 Sm 0.834 0.086 0.252
8 Sm 0.834 0.582 0.748
9 Sm 0.166 0.914 0.748
10 Tm 0.500 0.731 0.231
11 Tm 0.500 0.269 0.769
12 Tm 0.000 0.500 0.500

Output
ρ (g cm⁻³): 7.16
SG: Immm, No. 71


(8)
This record from the Alexandria database describes a relaxed Pr4SmTm5 crystal. The functional is PBE-GGA.

a b c (Å): 3.524 11.389 8.734
angles (deg): 90.20 101.60 90.00
Fractional positions:
1 Pr 0.658 0.250 0.320
2 Pr 0.966 0.252 0.931
3 Pr 0.342 0.750 0.680
4 Pr 0.034 0.748 0.069
5 Sm 0.500 0.000 0.000
6 Tm 0.172 0.543 0.345
7 Tm 0.174 0.952 0.348
8 Tm 0.826 0.048 0.652
9 Tm 0.500 0.500 0.000
10 Tm 0.828 0.457 0.655

Output
Polymorph energy (0 for the lowest one) (eV per atom): 0.177
ρ (g cm⁻³): 7.54
SG: P-1, No. 2


(9)
This record from the Alexandria database describes a relaxed PrSm8Tm5 crystal. The functional is PBE-GGA.

a b c (Å): 8.505 8.505 8.505
angles (deg): 111.69 105.13 111.68
Fractional positions:
1 Pr 0.250 0.500 0.750
2 Sm 0.163 0.736 0.077
3 Sm 0.923 0.086 0.659
4 Sm 0.723 0.255 0.328
5 Sm 0.672 0.395 0.927
6 Sm 0.532 0.605 0.277
7 Sm 0.573 0.914 0.837
8 Sm 0.341 0.264 0.427
9 Sm 0.073 0.745 0.468
10 Tm 0.040 0.316 0.133
11 Tm 0.867 0.907 0.184
12 Tm 0.816 0.684 0.723
13 Tm 0.500 0.000 0.500
14 Tm 0.277 0.093 0.960

Output
ρ (g cm⁻³): 7.71
SG: I-4, No. 82


(10)
This record from the Alexandria database describes a relaxed Pr12SmTm7 crystal. The functional is PBE-GGA.

a b c (Å): 9.463 9.463 9.463
angles (deg): 107.92 107.92 107.92
Fractional positions:
1 Pr 0.781 0.327 0.623
2 Pr 0.673 0.377 0.219
3 Pr 0.408 0.054 0.295
4 Pr 0.946 0.705 0.592
5 Pr 0.377 0.219 0.673
6 Pr 0.705 0.592 0.946
7 Pr 0.295 0.408 0.054
8 Pr 0.623 0.781 0.327
9 Pr 0.054 0.295 0.408
10 Pr 0.592 0.946 0.705
11 Pr 0.327 0.623 0.781
12 Pr 0.219 0.673 0.377
13 Sm 0.000 0.000 0.000
14 Tm 0.104 0.681 0.993
15 Tm 0.319 0.007 0.896
16 Tm 0.007 0.896 0.319
17 Tm 0.500 0.500 0.500
18 Tm 0.993 0.104 0.681
19 Tm 0.681 0.993 0.104
20 Tm 0.896 0.319 0.007

Output
Polymorph energy (0 for the lowest one) (eV per atom): 0.000
ρ (g cm⁻³): 7.31
SG: R-3, No. 148


(11)
This record from the Alexandria database describes a relaxed Pr3Sm4Tm4 crystal. The functional is PBE-GGA.

a b c (Å): 3.612 5.072 20.035
angles (deg): 97.26 95.18 90.03
Fractional positions:
1 Pr 0.637 0.637 0.274
2 Pr 0.363 0.363 0.726
3 Pr 0.000 0.000 0.000
4 Sm 0.547 0.546 0.093
5 Sm 0.453 0.454 0.907
6 Sm 0.817 0.817 0.633
7 Sm 0.183 0.183 0.367
8 Tm 0.092 0.091 0.183
9 Tm 0.272 0.272 0.544
10 Tm 0.728 0.728 0.456
11 Tm 0.908 0.909 0.817

Output
Polymorph energy (0 for the lowest one) (eV per atom): 0.000
ρ (g cm⁻³): 7.78
SG: C2/m, No. 12


(12)
This record from the Alexandria database describes a relaxed Pr12Sm5Tm2 crystal. The functional is PBE-GGA.

a b c (Å): 10.775 9.407 8.143
angles (deg): 86.88 90.00 124.94
Fractional positions:
1 Pr 0.872 0.744 0.101
2 Pr 0.041 0.631 0.793
3 Pr 0.590 0.631 0.793
4 Pr 0.167 0.787 0.385
5 Pr 0.620 0.787 0.385
6 Pr 0.447 0.893 0.711
7 Pr 0.553 0.107 0.289
8 Pr 0.833 0.213 0.615
9 Pr 0.380 0.213 0.615
10 Pr 0.959 0.369 0.207
11 Pr 0.410 0.369 0.207
12 Pr 0.128 0.256 0.899
13 Sm 0.242 0.483 0.518
14 Sm 0.343 0.686 0.092
15 Sm 0.000 0.000 0.500
16 Sm 0.657 0.314 0.908
17 Sm 0.758 0.517 0.482
18 Tm 0.729 0.000 0.000
19 Tm 0.271 0.000 0.000

Output
Polymorph energy (0 for the lowest one) (eV per atom): 0.000
ρ (g cm⁻³): 6.84
SG: C2/m, No. 12


(13)
This record from the Alexandria database describes a relaxed Pr2Sm9Tm crystal. The functional is PBE-GGA.

a b c (Å): 5.131 5.131 15.402
angles (deg): 90.00 90.00 90.00
Fractional positions:
1 Pr 0.000 0.000 0.332
2 Pr 0.000 0.000 0.668
3 Sm 0.500 0.500 0.000
4 Sm 0.500 0.500 0.332
5 Sm 0.500 0.500 0.668
6 Sm 0.500 0.000 0.164
7 Sm 0.500 0.000 0.500
8 Sm 0.500 0.000 0.836
9 Sm 0.000 0.500 0.164
10 Sm 0.000 0.500 0.500
11 Sm 0.000 0.500 0.836
12 Tm 0.000 0.000 0.000

Output
Polymorph energy (0 for the lowest one) (eV per atom): 0.000
ρ (g cm⁻³): 7.39
SG: P4/mmm, No. 123


(14)
This record from the Alexandria database describes a relaxed Pr5Sm2Tm3 crystal. The functional is PBE-GGA.

a b c (Å): 10.070 10.092 9.250
angles (deg): 108.42 108.32 114.95
Fractional positions:
1 Pr 0.228 0.478 0.956
2 Pr 0.772 0.522 0.044
3 Pr 0.980 0.730 0.460
4 Pr 0.479 0.229 0.458
5 Pr 0.020 0.270 0.540
6 Pr 0.521 0.771 0.542
7 Pr 0.881 0.626 0.759
8 Pr 0.119 0.374 0.241
9 Pr 0.378 0.132 0.759
10 Pr 0.622 0.868 0.241
11 Sm 0.975 0.032 0.758
12 Sm 0.025 0.968 0.242
13 Sm 0.284 0.726 0.758
14 Sm 0.716 0.274 0.242
15 Tm 0.272 0.022 0.044
16 Tm 0.728 0.978 0.956
17 Tm 0.524 0.467 0.247
18 Tm 0.476 0.533 0.753
19 Tm 0.224 0.781 0.247
20 Tm 0.776 0.219 0.753

Output
Polymorph energy (0 for the lowest one) (eV per atom): 0.000
ρ (g cm⁻³): 7.27
SG: C2/c, No. 15


(15)
This record from the Alexandria database describes a relaxed PrSm3Tm5 crystal. The functional is PBE-GGA.

a b c (Å): 9.499 9.499 11.613
angles (deg): 52.27 52.27 72.36
Fractional positions:
1 Pr 0.158 0.158 0.595
2 Pr 0.842 0.842 0.405
3 Sm 0.702 0.702 0.807
4 Sm 0.659 0.659 0.366
5 Sm 0.000 0.000 0.000
6 Sm 0.000 0.000 0.500
7 Sm 0.298 0.298 0.193
8 Sm 0.341 0.341 0.634
9 Tm 0.848 0.352 0.247
10 Tm 0.261 0.739 0.000
11 Tm 0.814 0.814 0.962
12 Tm 0.494 0.494 0.221
13 Tm 0.506 0.506 0.779
14 Tm 0.186 0.186 0.038
15 Tm 0.352 0.848 0.247
16 Tm 0.739 0.261 0.000
17 Tm 0.152 0.648 0.753
18 Tm 0.648 0.152 0.753

Output
Polymorph energy (0 for the lowest one) (eV per atom): 0.185
ρ (g cm⁻³): 7.33
SG: C2/m, No. 12


(16)
This record from the Alexandria database describes a relaxed Pr3Sm8Tm crystal. The functional is PBE-GGA.

a b c (Å): 8.501 8.501 8.501
angles (deg): 94.70 117.33 117.32
Fractional positions:
1 Pr 0.500 0.750 0.250
2 Pr 0.500 0.250 0.750
3 Pr 0.000 0.500 0.500
4 Sm 0.490 0.235 0.235
5 Sm 0.510 0.745 0.745
6 Sm 0.000 0.765 0.255
7 Sm 0.000 0.255 0.765
8 Sm 0.249 0.371 0.371
9 Sm 0.751 0.122 0.122
10 Sm 0.000 0.629 0.878
11 Sm 0.000 0.878 0.629
12 Tm 0.000 0.000 0.000

Output
ρ (g cm⁻³): 6.62
SG: I-42m, No. 121


(17)
This record from the Alexandria database describes a relaxed Pr7Sm6Tm16 crystal. The functional is PBE-GGA.

a b c (Å): 11.226 11.226 11.226
angles (deg): 60.00 60.00 60.00
Fractional positions:
1 Pr 0.000 0.000 0.000
2 Pr 0.500 0.000 0.500
3 Pr 0.000 0.500 0.000
4 Pr 0.000 0.500 0.500
5 Pr 0.500 0.000 0.000
6 Pr 0.000 0.000 0.500
7 Pr 0.500 0.500 0.000
8 Sm 0.260 0.740 0.260
9 Sm 0.740 0.260 0.740
10 Sm 0.740 0.260 0.260
11 Sm 0.260 0.740 0.740
12 Sm 0.740 0.740 0.260
13 Sm 0.260 0.260 0.740
14 Tm 0.871 0.871 0.388
15 Tm 0.871 0.871 0.871
16 Tm 0.871 0.388 0.871
17 Tm 0.388 0.871 0.871
18 Tm 0.129 0.129 0.129
19 Tm 0.129 0.129 0.612
20 Tm 0.129 0.612 0.129
21 Tm 0.612 0.129 0.129
22 Tm 0.652 0.652 0.045
23 Tm 0.652 0.652 0.652
24 Tm 0.652 0.045 0.652
25 Tm 0.045 0.652 0.652
26 Tm 0.348 0.348 0.348
27 Tm 0.348 0.348 0.955
28 Tm 0.348 0.955 0.348
29 Tm 0.955 0.348 0.348

Output
ρ (g cm⁻³): 7.62
SG: Fm-3m, No. 225


(18)
This record from the Alexandria database describes a relaxed Pr5Sm3Tm4 crystal. The functional is PBE-GGA.

a b c (Å): 5.886 5.705 14.651
angles (deg): 84.19 78.41 58.95
Fractional positions:
1 Pr 0.670 0.661 0.000
2 Pr 0.500 0.500 0.500
3 Pr 0.203 0.343 0.251
4 Pr 0.797 0.657 0.749
5 Pr 0.330 0.339 0.000
6 Sm 0.456 0.338 0.750
7 Sm 0.000 0.500 0.500
8 Sm 0.544 0.662 0.250
9 Tm 0.062 0.999 0.877
10 Tm 0.177 0.998 0.648
11 Tm 0.823 0.002 0.352
12 Tm 0.938 0.001 0.123

Output
ρ (g cm⁻³): 7.36
SG: C2/m, No. 12


Number 1: total DFT energy (no corrections) -4.6538 eV per atom. Number 2: total DFT energy (no corrections) -4.6327 eV per atom. Number 3: total DFT energy (no corrections) -4.4654 eV per atom. Number 4: total DFT energy (no corrections) -4.5102 eV per atom. Number 5: total DFT energy (no corrections) -4.4589 eV per atom. Number 6: total DFT energy (no corrections) -4.4103 eV per atom. Number 7: total DFT energy (no corrections) -4.3143 eV per atom. Number 8: total DFT energy (no corrections) -4.4210 eV per atom. Number 9: total DFT energy (no corrections) -4.3932 eV per atom. Number 10: total DFT energy (no corrections) -4.5245 eV per atom. Number 11: total DFT energy (no corrections) -4.6248 eV per atom. Number 12: total DFT energy (no corrections) -4.6095 eV per atom. Number 13: total DFT energy (no corrections) -4.6896 eV per atom. Number 14: total DFT energy (no corrections) -4.4977 eV per atom. Number 15: total DFT energy (no corrections) -4.0727 eV per atom. Number 16: total DFT energy (no corrections) -4.1474 eV per atom. Number 17: total DFT energy (no corrections) -4.3535 eV per atom. Number 18: total DFT energy (no corrections) -4.4395 eV per atom.